An optimized crystal structure of BaHg2Se, computed with GGA-PBE.

Unit cell a=4.3823 b=4.3823 c=6.5758 alpha=90.00 beta=90.00 gamma=90.02
With the nearest neighbours (Å) after each atom.
Positions (direct):
Ba: 0.5000 0.5000 0.7500  2 Se 3.29, 8 Hg 3.59-3.60
Hg: 0.0000 0.0000 0.0271  1 Hg 2.93
Hg: 0.0000 0.0000 0.4729  1 Hg 2.93
Se: 0.5000 0.5000 0.2500  2 Ba 3.29, 8 Hg 3.43

Properties
E ... -2.09 eV per atom
Spin magnetization ... 0.00 μB/f.u.
Formation energy without anion corrections ... -2.353 eV/f.u.
N(E_F) ... 1.37 states/eV per cell